# Y3PuTl4Se8 (PBE, relaxed)
data_Y3PuTl4Se8
_space_group_name_H-M_alt 'R -3 m'
_space_group_IT_number 166
_space_group_name_Hall '-R 3 2"'
_cell_length_a 8.4144
_cell_length_b 8.4144
_cell_length_c 23.2431
_cell_angle_alpha 90.00
_cell_angle_beta 90.00
_cell_angle_gamma 120.00
loop_
_atom_site_label
_atom_site_fract_x
_atom_site_fract_y
_atom_site_fract_z
_atom_site_occupancy
Y1 0.0000 0.5000 0.0000 1
Pu1 0.0000 0.0000 0.0000 1
Tl1 0.0000 0.0000 0.5000 1
Tl2 0.0000 0.5000 0.5000 1
Se1 0.0000 0.0000 0.2651 1
Se2 0.0028 0.5014 0.2650 1
# E_form (uncorrected) = -1314 meV per atom
# total magnetization = 0.31 μB/atom
# E = -5.76 eV per atom